No. 1
This record from Alexandria via LeMat-Bulk describes ZnSb3 after structural relaxation. The functional is PBE.

Cell lengths 5.959, 8.342, 4.261 Å; angles 90.00, 90.00, 90.00 degrees
Positions (direct):
Zn (0.250, 0.250, 0.002)
Zn (0.750, 0.750, 0.998)
Sb (0.250, 0.020, 0.502)
Sb (0.250, 0.480, 0.502)
Sb (0.250, 0.750, 0.002)
Sb (0.750, 0.250, 0.998)
Sb (0.750, 0.520, 0.498)
Sb (0.750, 0.980, 0.498)

Output
SG: No. 59
final energy: -3.3235 eV per atom
formation energy (no corrections): 8 kJ per mole of atoms

No. 2
This record from Alexandria via LeMat-Bulk describes ZnSb3 after structural relaxation. The functional is PBE.

Cell lengths 5.223, 5.223, 5.223 Å; angles 60.00, 60.00, 60.00 degrees
Positions (direct):
Zn (0.000, 0.000, 0.000)
Sb (0.250, 0.250, 0.250)
Sb (0.500, 0.500, 0.500)
Sb (0.750, 0.750, 0.750)

Output
SG: No. 225
final energy: -3.1736 eV per atom
formation energy (no corrections): 23 kJ per mole of atoms

No. 3
This record from Alexandria via LeMat-Bulk describes Zn6Sb5 after structural relaxation. The functional is PBE.

Cell lengths 8.218, 8.218, 8.218 Å; angles 97.19, 97.19, 97.19 degrees
Positions (direct):
Zn (0.017, 0.341, 0.936)
Zn (0.064, 0.983, 0.659)
Zn (0.159, 0.483, 0.564)
Zn (0.341, 0.936, 0.017)
Zn (0.436, 0.841, 0.517)
Zn (0.483, 0.564, 0.159)
Zn (0.517, 0.436, 0.841)
Zn (0.564, 0.159, 0.483)
Zn (0.659, 0.064, 0.983)
Zn (0.841, 0.517, 0.436)
Zn (0.936, 0.017, 0.341)
Zn (0.983, 0.659, 0.064)
Sb (0.106, 0.750, 0.394)
Sb (0.135, 0.135, 0.135)
Sb (0.250, 0.606, 0.894)
Sb (0.365, 0.365, 0.365)
Sb (0.394, 0.106, 0.750)
Sb (0.606, 0.894, 0.250)
Sb (0.635, 0.635, 0.635)
Sb (0.750, 0.394, 0.106)
Sb (0.865, 0.865, 0.865)
Sb (0.894, 0.250, 0.606)

Output
SG: No. 167
final energy: -2.5666 eV per atom
formation energy (no corrections): 0 kJ per mole of atoms

No. 4
This record from Alexandria via LeMat-Bulk describes Zn3Sb after structural relaxation. The functional is PBE.

Cell lengths 5.098, 5.098, 3.191 Å; angles 90.00, 90.00, 111.41 degrees
Positions (direct):
Zn (0.000, 0.000, 0.000)
Zn (0.000, 0.500, 0.500)
Zn (0.500, 0.000, 0.500)
Sb (0.500, 0.500, 0.000)

Output
SG: No. 65
final energy: -1.8005 eV per atom
formation energy (no corrections): 18 kJ per mole of atoms

No. 5
This record from Alexandria via LeMat-Bulk describes ZnSb3 after structural relaxation. The functional is PBE.

Cell lengths 3.247, 3.247, 9.860 Å; angles 90.00, 90.00, 105.94 degrees
Positions (direct):
Zn (0.000, 0.000, 0.000)
Sb (0.000, 0.000, 0.500)
Sb (0.500, 0.500, 0.218)
Sb (0.500, 0.500, 0.782)

Output
SG: No. 65
final energy: -3.1934 eV per atom
formation energy (no corrections): 21 kJ per mole of atoms

No. 6
This record from Alexandria via LeMat-Bulk describes ZnSb3 after structural relaxation. The functional is PBE.

Cell lengths 4.039, 5.973, 4.555 Å; angles 90.00, 90.00, 90.00 degrees
Positions (direct):
Zn (0.000, 0.000, 0.000)
Sb (0.000, 0.500, 0.016)
Sb (0.500, 0.000, 0.521)
Sb (0.500, 0.500, 0.465)

Output
SG: No. 25
final energy: -3.2746 eV per atom
formation energy (no corrections): 13 kJ per mole of atoms

No. 7
This record from Alexandria via LeMat-Bulk describes ZnSb3 after structural relaxation. The functional is PBE.

Cell lengths 6.753, 6.753, 6.753 Å; angles 152.15, 56.36, 132.05 degrees
Positions (direct):
Zn (0.000, 0.000, 0.000)
Sb (0.002, 0.685, 0.317)
Sb (0.368, 0.685, 0.683)
Sb (0.559, 0.059, 0.500)

Output
SG: No. 44
final energy: -3.2314 eV per atom
formation energy (no corrections): 17 kJ per mole of atoms

No. 8
This record from Alexandria via LeMat-Bulk describes Zn4Sb5 after structural relaxation. The functional is PBE.

Cell lengths 8.749, 8.749, 6.196 Å; angles 90.00, 90.00, 120.00 degrees
Positions (direct):
Zn (0.000, 0.000, 0.000)
Zn (0.000, 0.000, 0.500)
Zn (0.000, 0.354, 0.250)
Zn (0.000, 0.646, 0.750)
Zn (0.354, 0.000, 0.250)
Zn (0.354, 0.354, 0.750)
Zn (0.646, 0.000, 0.750)
Zn (0.646, 0.646, 0.250)
Sb (0.000, 0.309, 0.750)
Sb (0.000, 0.691, 0.250)
Sb (0.309, 0.000, 0.750)
Sb (0.309, 0.309, 0.250)
Sb (0.333, 0.667, 0.000)
Sb (0.333, 0.667, 0.500)
Sb (0.667, 0.333, 0.000)
Sb (0.667, 0.333, 0.500)
Sb (0.691, 0.000, 0.250)
Sb (0.691, 0.691, 0.750)

Output
SG: No. 193
final energy: -2.6173 eV per atom
formation energy (no corrections): 23 kJ per mole of atoms

No. 9
This record from Alexandria via LeMat-Bulk describes Zn3Sb after structural relaxation. The functional is PBE.

Cell lengths 3.211, 3.211, 8.812 Å; angles 90.00, 90.00, 120.00 degrees
Positions (direct):
Zn (0.000, 0.000, 0.000)
Zn (0.667, 0.333, 0.217)
Zn (0.667, 0.333, 0.783)
Sb (0.000, 0.000, 0.500)

Output
SG: No. 187
final energy: -1.7909 eV per atom
formation energy (no corrections): 19 kJ per mole of atoms

No. 10
This record from Alexandria via LeMat-Bulk describes ZnSb3 after structural relaxation. The functional is PBE.

Cell lengths 3.386, 3.386, 10.131 Å; angles 90.00, 90.00, 120.00 degrees
Positions (direct):
Zn (0.000, 0.000, 0.000)
Sb (0.000, 0.000, 0.500)
Sb (0.333, 0.667, 0.219)
Sb (0.333, 0.667, 0.781)

Output
SG: No. 187
final energy: -3.1445 eV per atom
formation energy (no corrections): 26 kJ per mole of atoms

No. 11
This record from Alexandria via LeMat-Bulk describes Zn2Sb after structural relaxation. The functional is PBE.

Cell lengths 6.557, 6.557, 6.557 Å; angles 152.27, 152.27, 39.61 degrees
Positions (direct):
Zn (0.186, 0.186, 0.000)
Zn (0.814, 0.814, 0.000)
Sb (0.500, 0.500, 0.000)

Output
SG: No. 139
final energy: -2.0307 eV per atom
formation energy (no corrections): 19 kJ per mole of atoms

No. 12
This record from Alexandria via LeMat-Bulk describes Zn2Sb after structural relaxation. The functional is PBE.

Cell lengths 6.761, 6.761, 5.856 Å; angles 113.92, 113.92, 30.33 degrees
Positions (direct):
Zn (0.081, 0.081, 0.238)
Zn (0.246, 0.246, 0.674)
Zn (0.754, 0.754, 0.326)
Zn (0.919, 0.919, 0.762)
Sb (0.399, 0.399, 0.179)
Sb (0.601, 0.601, 0.821)

Output
SG: No. 12
final energy: -2.1428 eV per atom
formation energy (no corrections): 8 kJ per mole of atoms

> formation energy (no corrections) of number 10 (ZnSb3)?

26 kJ per mole of atoms

> The lowest formation energy (no corrections) belongs to which entry?

Zn6Sb5

> What is the final energy in the eighth record?

-2.6173 eV per atom